1.
Computed, not measured: a relaxed CeEr5Pb3 crystal at the PBE-GGA level of DFT.

a = 9.4317 Å, b = 9.4317 Å, c = 6.5327 Å
α = 90.00°, β = 90.00°, γ = 120.00°
Space group P6_3/mcm (No. 193)
One atom of each set of equivalent atoms:
Ce  0.0000  0.0000  0.0000 x2
Er  0.0000  0.3272  0.2500 x6
Er  0.3333  0.6667  0.0000 x4
Pb  0.0000  0.3397  0.7500 x6

Results
* magnetic moment: 0.13 μB per atom
* electronic total energy: -0.3520 Ry per atom
* formation enthalpy at 0 K: -359 meV per atom


2.
Computed, not measured: a relaxed Ce5ErPb5 crystal at the PBE-GGA level of DFT.

a = 14.4546 Å, b = 6.3933 Å, c = 8.8065 Å
α = 90.00°, β = 107.84°, γ = 90.00°
Space group C2/m (No. 12)
One atom of each set of equivalent atoms:
Ce  0.0000  0.0000  0.0000 x2
Ce  0.1640  0.5000  0.3293 x4
Ce  0.1657  0.5000  0.8346 x4
Er  0.0000  0.0000  0.5000 x2
Pb  0.0000  0.5000  0.5000 x2
Pb  0.1647  0.0000  0.8323 x4
Pb  0.1668  0.0000  0.3337 x4

Results
* magnetic moment: 0.35 μB per atom
* electronic total energy: -0.3645 Ry per atom
* formation enthalpy at 0 K: -162 meV per atom


3.
Computed, not measured: a relaxed Ce2Er2Pb5 crystal at the PBE-GGA level of DFT.

a = 6.4735 Å, b = 17.5184 Å, c = 9.3794 Å
α = 90.00°, β = 90.00°, γ = 90.00°
Space group Imma (No. 74)
One atom of each set of equivalent atoms:
Ce  0.0000  0.0651  0.0792 x8
Er  0.0000  0.0000  0.5000 x4
Er  0.0000  0.2500  0.6635 x4
Pb  0.0000  0.1613  0.3675 x8
Pb  0.0000  0.2500  0.0478 x4
Pb  0.2500  0.0898  0.7500 x8

Results
* magnetic moment: 0.21 μB per atom
* electronic total energy: -0.3434 Ry per atom
* formation enthalpy at 0 K: -279 meV per atom